The following is a DFT calculation (PBE with a Hubbard U) of crystalline LiMoPb2O6 at its relaxed geometry.

a = 5.6556 Å, b = 5.8064 Å, c = 8.0314 Å
α = 90.00°, β = 89.60°, γ = 90.00°
Fractional coordinates of all 20 atoms:
Li: 0.5000 0.0000 0.0000
Li: 0.0000 0.5000 0.5000
Mo: 0.5000 0.0000 0.5000
Mo: 0.0000 0.5000 0.0000
Pb: 0.0088 0.9533 0.2527
Pb: 0.5088 0.5467 0.7527
Pb: 0.9912 0.0467 0.7473
Pb: 0.4912 0.4533 0.2473
O: 0.2815 0.6865 0.0429
O: 0.7815 0.8135 0.5429
O: 0.7185 0.3135 0.9571
O: 0.2185 0.1865 0.4571
O: 0.3195 0.7216 0.4491
O: 0.8195 0.7784 0.9491
O: 0.6805 0.2784 0.5509
O: 0.1805 0.2216 0.0509
O: 0.9075 0.5322 0.2349
O: 0.4075 0.9678 0.7349
O: 0.0925 0.4678 0.7651
O: 0.5925 0.0322 0.2651

Values from the calculation:
* total magnetization: 0.0 μB/cell
* calculated total energy: -60.0 eV per formula unit
* D(E_F): 8.234 states/eV per cell
* space-group type: P2_1/c, No. 14